Entry 1:
Density functional theory data (PBE) for a relaxed La2HgCl crystal.

Geometry as POSCAR:
```
La2HgCl
1.0
-2.330 3.099 4.072
2.330 -3.099 4.072
2.330 3.099 -4.072
La Hg Cl
2 1 1
Direct
0.228 0.228 0.000
0.772 0.772 0.000
0.500 0.000 0.500
0.000 0.500 0.500
```

- D(E_F): 4.242 states/eV/f.u.
- ΔE_f (raw): -0.821 eV per atom
- Space-group type: No. 71
- Distance to the lowest polymorph of the same formula: 174 meV per atom
- Energy: -3.822 eV per atom

Entry 2:
Density functional theory data (PBE) for a relaxed La2HgCl2 crystal.

Geometry as POSCAR:
```
La2HgCl2
1.0
-2.175 2.175 7.620
2.175 -2.175 7.620
2.175 2.175 -7.620
La Hg Cl
2 1 2
Direct
0.120 0.120 0.000
0.880 0.880 0.000
0.500 0.500 0.000
0.250 0.750 0.500
0.750 0.250 0.500
```

- D(E_F): 4.763 states/eV/f.u.
- ΔE_f (raw): -1.286 eV per atom
- Space-group type: No. 139
- Distance to the lowest polymorph of the same formula: 136 meV per atom
- Energy: -4.056 eV per atom

Entry 3:
Density functional theory data (PBE) for a relaxed La2HgCl crystal.

Geometry as POSCAR:
```
La2HgCl
1.0
0.000 3.839 3.839
3.839 0.000 3.839
3.839 3.839 0.000
La Hg Cl
2 1 1
Direct
0.000 0.000 0.000
0.250 0.250 0.250
0.750 0.750 0.750
0.500 0.500 0.500
```

- D(E_F): 6.704 states/eV/f.u.
- ΔE_f (raw): -0.231 eV per atom
- Space-group type: No. 216
- Distance to the lowest polymorph of the same formula: 765 meV per atom
- Energy: -3.231 eV per atom

Entry 4:
Density functional theory data (PBE) for a relaxed LaHgCl2 crystal.

Geometry as POSCAR:
```
LaHgCl2
1.0
4.500 0.000 0.000
0.000 5.135 0.000
-2.237 0.000 5.107
La Hg Cl
1 1 2
Direct
0.000 0.000 0.000
0.412 0.500 0.822
0.117 0.500 0.232
0.716 0.000 0.432
```

- D(E_F): 2.596 states/eV/f.u.
- ΔE_f (raw): -1.392 eV per atom
- Space-group type: No. 6
- Distance to the lowest polymorph of the same formula: 155 meV per atom
- Energy: -3.623 eV per atom

Entry 5:
Density functional theory data (PBE) for a relaxed La2HgCl crystal.

Geometry as POSCAR:
```
La2HgCl
1.0
5.158 0.000 0.000
0.000 1.842 6.167
0.000 -1.842 6.167
La Hg Cl
2 1 1
Direct
0.000 0.000 0.000
0.500 0.262 0.262
0.500 0.527 0.527
0.000 0.764 0.764
```

- D(E_F): 3.665 states/eV/f.u.
- ΔE_f (raw): -0.910 eV per atom
- Space-group type: No. 38
- Distance to the lowest polymorph of the same formula: 85 meV per atom
- Energy: -3.911 eV per atom

Entry 6:
Density functional theory data (PBE) for a relaxed LaHgCl2 crystal.

Geometry as POSCAR:
```
LaHgCl2
1.0
3.592 0.000 0.000
0.000 3.592 0.000
0.000 0.000 9.842
La Hg Cl
1 1 2
Direct
0.000 0.000 0.000
0.000 0.000 0.500
0.500 0.500 0.164
0.500 0.500 0.836
```

- D(E_F): 1.455 states/eV/f.u.
- ΔE_f (raw): -1.547 eV per atom
- Space-group type: No. 123
- Distance to the lowest polymorph of the same formula: 0 meV per atom
- Energy: -3.778 eV per atom

Entry 7:
Density functional theory data (PBE) for a relaxed La2HgCl2 crystal.

Geometry as POSCAR:
```
La2HgCl2
1.0
2.149 1.241 10.729
-2.149 1.241 10.729
0.000 -2.481 10.729
La Hg Cl
2 1 2
Direct
0.103 0.103 0.103
0.897 0.897 0.897
0.500 0.500 0.500
0.279 0.279 0.279
0.721 0.721 0.721
```

- D(E_F): 3.510 states/eV/f.u.
- ΔE_f (raw): -1.421 eV per atom
- Space-group type: No. 166
- Distance to the lowest polymorph of the same formula: 0 meV per atom
- Energy: -4.191 eV per atom

Entry 8:
Density functional theory data (PBE) for a relaxed La2HgCl crystal.

Geometry as POSCAR:
```
La2HgCl
1.0
-3.080 3.080 7.925
3.080 -3.080 7.925
3.080 3.080 -7.925
La Hg Cl
4 2 2
Direct
0.096 0.625 0.971
0.375 0.346 0.471
0.654 0.125 0.029
0.875 0.904 0.529
0.250 0.750 0.500
0.500 0.500 0.000
0.000 0.000 0.000
0.750 0.250 0.500
```

- D(E_F): 5.488 states/eV/f.u.
- ΔE_f (raw): -0.645 eV per atom
- Space-group type: No. 122
- Distance to the lowest polymorph of the same formula: 350 meV per atom
- Energy: -3.646 eV per atom

Entry 9:
Density functional theory data (PBE) for a relaxed La2HgCl crystal.

Geometry as POSCAR:
```
La2HgCl
1.0
3.903 0.000 0.000
0.000 3.839 0.000
-0.022 0.000 8.295
La Hg Cl
2 1 1
Direct
0.001 0.000 0.229
0.999 0.000 0.771
0.500 0.500 0.000
0.000 0.500 0.500
```

- D(E_F): 3.045 states/eV/f.u.
- ΔE_f (raw): -0.968 eV per atom
- Space-group type: No. 10
- Distance to the lowest polymorph of the same formula: 27 meV per atom
- Energy: -3.969 eV per atom

Entry 10:
Density functional theory data (PBE) for a relaxed LaHgCl2 crystal.

Geometry as POSCAR:
```
LaHgCl2
1.0
4.035 0.000 0.000
0.000 4.035 0.000
0.000 0.000 7.222
La Hg Cl
1 1 2
Direct
0.000 0.000 0.000
0.500 0.500 0.641
0.000 0.000 0.368
0.500 0.500 0.091
```

- D(E_F): 2.630 states/eV/f.u.
- ΔE_f (raw): -1.337 eV per atom
- Space-group type: No. 99
- Distance to the lowest polymorph of the same formula: 211 meV per atom
- Energy: -3.567 eV per atom

Entry 11:
Density functional theory data (PBE) for a relaxed La2HgCl crystal.

Geometry as POSCAR:
```
La2HgCl
1.0
3.564 0.000 0.000
0.000 3.564 0.000
0.000 0.000 8.491
La Hg Cl
2 1 1
Direct
0.000 0.000 0.245
0.000 0.000 0.755
0.500 0.500 0.500
0.500 0.500 0.000
```

- D(E_F): 3.176 states/eV/f.u.
- ΔE_f (raw): -0.923 eV per atom
- Space-group type: No. 123
- Distance to the lowest polymorph of the same formula: 73 meV per atom
- Energy: -3.923 eV per atom

Entry 12:
Density functional theory data (PBE) for a relaxed La2HgCl crystal.

Geometry as POSCAR:
```
La2HgCl
1.0
7.538 0.000 0.000
0.000 9.213 0.000
-1.496 0.000 7.034
La Hg Cl
8 4 4
Direct
0.070 0.245 0.032
0.070 0.255 0.532
0.387 0.621 0.265
0.387 0.879 0.765
0.613 0.121 0.235
0.613 0.379 0.735
0.930 0.745 0.468
0.930 0.755 0.968
0.200 0.550 0.791
0.200 0.950 0.291
0.800 0.050 0.709
0.800 0.450 0.209
0.377 0.177 0.859
0.377 0.323 0.359
0.623 0.677 0.641
0.623 0.823 0.141
```

- D(E_F): 4.319 states/eV/f.u.
- ΔE_f (raw): -0.934 eV per atom
- Space-group type: No. 14
- Distance to the lowest polymorph of the same formula: 62 meV per atom
- Energy: -3.934 eV per atom